Entry from Alexandria: a relaxed CdSnS3 crystal (PBE).

Its distance to the lowest polymorph of the same formula is 0.080 eV/atom. Its density of states at the Fermi level is 3.9 states/eV/cell. The total energy is -3.66 eV per atom. Its raw formation energy is -202 meV per atom.

The structure belongs to space group P-31m (No. 162); the cell edges are 6.6554, 6.6554 and 7.6205 Å and the angles 90.00°, 90.00° and 120.00°. The distinct sites, in fractional coordinates, are Cd at (0.3333, 0.6667, 0.0000), Sn at (0.0000, 0.0000, 0.2171) and S at (0.0000, 0.3538, 0.7761).


Entry from Alexandria: a relaxed Ce6PuTl2N crystal (PBE).

Its density of states at the Fermi level is 44.3 states/eV/cell. The total energy is -6.94 eV per atom. Its raw formation energy is -637 meV per atom.

The structure belongs to space group Fm-3m (No. 225); the cell edges are 9.941, 9.941 and 9.941 Å and the angles 90.00°, 90.00° and 90.00°. The distinct sites, in fractional coordinates, are Ce at (0.000, 0.000, 0.248), Pu at (0.000, 0.000, 0.000), Tl at (0.250, 0.250, 0.250) and N at (0.000, 0.000, 0.500).


Entry from Alexandria: a relaxed PmAlB crystal (PBE).

Its distance to the lowest polymorph of the same formula is 0.000 eV/atom. Its density of states at the Fermi level is 1.8 states/eV/cell. The energy of formation comes out at -30.7 kJ per mole of atoms. The total energy is -5.37 eV per atom.

The structure belongs to space group P-6m2 (No. 187); the cell edges are 3.8339, 3.8339 and 4.2558 Å and the angles 90.00°, 90.00° and 120.00°. The distinct sites, in fractional coordinates, are Pm at (0.0000, 0.0000, 0.0000), Al at (0.3333, 0.6667, 0.5000) and B at (0.6667, 0.3333, 0.5000).


> Which formula does entry 1 have?

CdSnS3